Compound: FeSb2Au
Source: the Alexandria database
Functional: GGA-PBE
Structure: relaxed

The structure in CIF format:
```
data_FeSb2Au
_chemical_formula_sum 'Fe1 Sb2 Au1'
_symmetry_space_group_name_H-M 'P 1'
_symmetry_Int_Tables_number 1
_cell_length_a 5.798
_cell_length_b 5.798
_cell_length_c 5.798
_cell_angle_alpha 138.75
_cell_angle_beta 138.75
_cell_angle_gamma 59.76
loop_
_symmetry_equiv_pos_as_xyz
'x,y,z'
loop_
_atom_site_label
_atom_site_type_symbol
_atom_site_fract_x
_atom_site_fract_y
_atom_site_fract_z
Fe1 Fe 0.750 0.250 0.500
Au1 Au 0.500 0.500 0.000
Sb1 Sb 0.250 0.750 0.500
Sb2 Sb 0.000 0.000 0.000
```

The calculation puts the total DFT energy (no corrections) at -4.614 eV/atom. Its density is 9.83 g cm⁻³. The formation energy (no corrections) comes out at 0.382 eV/atom. For the total moment, the calculation gives 0.699 μB per atom. For the density of states at the Fermi level, the calculation gives 1.207 states/eV per atom.

Compound: FeSb2Au
Source: the Alexandria database
Functional: GGA-PBE
Structure: relaxed

The structure in CIF format:
```
data_FeSb2Au
_chemical_formula_sum 'Fe1 Sb2 Au1'
_symmetry_space_group_name_H-M 'P 1'
_symmetry_Int_Tables_number 1
_cell_length_a 4.956
_cell_length_b 4.956
_cell_length_c 4.956
_cell_angle_alpha 60.00
_cell_angle_beta 60.00
_cell_angle_gamma 60.00
loop_
_symmetry_equiv_pos_as_xyz
'x,y,z'
loop_
_atom_site_label
_atom_site_type_symbol
_atom_site_fract_x
_atom_site_fract_y
_atom_site_fract_z
Fe1 Fe 0.750 0.750 0.750
Sb1 Sb 0.250 0.250 0.250
Sb2 Sb 0.000 0.000 0.000
Au1 Au 0.500 0.500 0.500
```

The calculation puts the total DFT energy (no corrections) at -4.481 eV/atom. Its density is 9.57 g cm⁻³. The formation energy (no corrections) comes out at 0.515 eV/atom. For the total moment, the calculation gives 0.731 μB per atom. For the density of states at the Fermi level, the calculation gives 0.936 states/eV per atom.

Compound: FeSb3Au
Source: the Alexandria database
Functional: GGA-PBE
Structure: relaxed

The structure in CIF format:
```
data_FeSb3Au
_chemical_formula_sum 'Fe1 Sb3 Au1'
_symmetry_space_group_name_H-M 'P 1'
_symmetry_Int_Tables_number 1
_cell_length_a 4.908
_cell_length_b 4.908
_cell_length_c 4.908
_cell_angle_alpha 90.00
_cell_angle_beta 90.00
_cell_angle_gamma 90.00
loop_
_symmetry_equiv_pos_as_xyz
'x,y,z'
loop_
_atom_site_label
_atom_site_type_symbol
_atom_site_fract_x
_atom_site_fract_y
_atom_site_fract_z
Sb1 Sb 0.000 0.000 0.500
Fe1 Fe 0.000 0.000 0.000
Sb2 Sb 0.000 0.500 0.000
Sb3 Sb 0.500 0.000 0.000
Au1 Au 0.500 0.500 0.500
```

The calculation puts the total DFT energy (no corrections) at -4.421 eV/atom. Its density is 8.68 g cm⁻³. The formation energy (no corrections) comes out at 0.401 eV/atom. For the total moment, the calculation gives 0.000 μB per atom. For the density of states at the Fermi level, the calculation gives 0.578 states/eV per atom. The distance to the lowest polymorph of the same formula is 0.000 eV per atom.

Compound: FeSbAu2
Source: the Alexandria database
Functional: GGA-PBE
Structure: relaxed

The structure in CIF format:
```
data_FeSbAu2
_chemical_formula_sum 'Fe1 Sb1 Au2'
_symmetry_space_group_name_H-M 'P 1'
_symmetry_Int_Tables_number 1
_cell_length_a 3.003
_cell_length_b 3.003
_cell_length_c 8.455
_cell_angle_alpha 90.00
_cell_angle_beta 90.00
_cell_angle_gamma 90.02
loop_
_symmetry_equiv_pos_as_xyz
'x,y,z'
loop_
_atom_site_label
_atom_site_type_symbol
_atom_site_fract_x
_atom_site_fract_y
_atom_site_fract_z
Sb1 Sb 0.500 0.500 0.750
Au1 Au 0.000 0.000 0.456
Au2 Au 0.000 0.000 0.044
Fe1 Fe 0.500 0.500 0.250
```

The calculation puts the total DFT energy (no corrections) at -4.596 eV/atom. Its density is 12.45 g cm⁻³. The formation energy (no corrections) comes out at 0.189 eV/atom. For the total moment, the calculation gives 0.730 μB per atom. For the density of states at the Fermi level, the calculation gives 0.667 states/eV per atom.

Compound: FeSb2Au
Source: the Alexandria database
Functional: GGA-PBE
Structure: relaxed

The structure in CIF format:
```
data_FeSb2Au
_chemical_formula_sum 'Fe1 Sb2 Au1'
_symmetry_space_group_name_H-M 'P 1'
_symmetry_Int_Tables_number 1
_cell_length_a 5.089
_cell_length_b 5.089
_cell_length_c 5.089
_cell_angle_alpha 127.30
_cell_angle_beta 126.15
_cell_angle_gamma 78.70
loop_
_symmetry_equiv_pos_as_xyz
'x,y,z'
loop_
_atom_site_label
_atom_site_type_symbol
_atom_site_fract_x
_atom_site_fract_y
_atom_site_fract_z
Au1 Au 0.250 0.750 0.500
Fe1 Fe 0.750 0.250 0.500
Sb1 Sb 0.997 0.997 0.000
Sb2 Sb 0.503 0.503 0.000
```

The calculation puts the total DFT energy (no corrections) at -4.638 eV/atom. Its density is 10.06 g cm⁻³. The formation energy (no corrections) comes out at 0.358 eV/atom. For the total moment, the calculation gives 0.597 μB per atom. For the density of states at the Fermi level, the calculation gives 0.870 states/eV per atom.

Compound: FeSbAu2
Source: the Alexandria database
Functional: GGA-PBE
Structure: relaxed

The structure in CIF format:
```
data_FeSbAu2
_chemical_formula_sum 'Fe1 Sb1 Au2'
_symmetry_space_group_name_H-M 'P 1'
_symmetry_Int_Tables_number 1
_cell_length_a 6.310
_cell_length_b 6.310
_cell_length_c 4.289
_cell_angle_alpha 69.67
_cell_angle_beta 69.67
_cell_angle_gamma 28.16
loop_
_symmetry_equiv_pos_as_xyz
'x,y,z'
loop_
_atom_site_label
_atom_site_type_symbol
_atom_site_fract_x
_atom_site_fract_y
_atom_site_fract_z
Au1 Au 0.053 0.053 0.947
Au2 Au 0.447 0.447 0.553
Sb1 Sb 0.250 0.250 0.250
Fe1 Fe 0.750 0.750 0.750
```

The calculation puts the total DFT energy (no corrections) at -4.600 eV/atom. Its density is 12.61 g cm⁻³. The formation energy (no corrections) comes out at 0.185 eV/atom. For the total moment, the calculation gives 0.572 μB per atom. For the density of states at the Fermi level, the calculation gives 0.755 states/eV per atom.

> What is the formation energy (no corrections) in the sixth record?

0.185 eV/atom